No. 1
## ThTc5Ge6 (PBE)

Data for a relaxed ThTc5Ge6 crystal.

## Properties
SG: C2/m, No. 12
Final energy in hartree per atom: -0.2682

a b c (Å): 6.6206 6.6206 6.6393
angles (deg): 99.07 99.07 130.82
Fractional coordinates of all 12 atoms:
Th1 0.0000 0.0000 0.0000
Tc1 0.0000 0.0000 0.5000
Tc2 0.3136 0.6864 0.0000
Tc3 0.3802 0.6198 0.5000
Tc4 0.6198 0.3802 0.5000
Tc5 0.6864 0.3136 0.0000
Ge1 0.1742 0.7886 0.6915
Ge2 0.2114 0.8258 0.3085
Ge3 0.4316 0.4316 0.7880
Ge4 0.5684 0.5684 0.2120
Ge5 0.7886 0.1742 0.6915
Ge6 0.8258 0.2114 0.3085

---

No. 2
## ThTc2Ge2 (PBE)

Data for a relaxed ThTc2Ge2 crystal.

## Properties
SG: I4/mmm, No. 139
Offset from the most stable computed form in meV/atom: 18

a b c (Å): 4.2923 4.2923 10.2884
angles (deg): 90.00 90.00 90.00
Fractional coordinates of all 10 atoms:
Th1 0.0000 0.0000 0.0000
Th2 0.5000 0.5000 0.5000
Tc1 0.0000 0.5000 0.2500
Tc2 0.0000 0.5000 0.7500
Tc3 0.5000 0.0000 0.2500
Tc4 0.5000 0.0000 0.7500
Ge1 0.0000 0.0000 0.3735
Ge2 0.0000 0.0000 0.6265
Ge3 0.5000 0.5000 0.1265
Ge4 0.5000 0.5000 0.8735

---

No. 3
## Th2TcGe (PBE)

Data for a relaxed Th2TcGe crystal.

## Properties
SG: P2_1/m, No. 11
Offset from the most stable computed form in meV/atom: 0

a b c (Å): 6.0562 4.0874 8.5012
angles (deg): 90.00 110.41 90.00
Fractional coordinates of all 8 atoms:
Th1 0.1870 0.2500 0.4069
Th2 0.2754 0.7500 0.0523
Th3 0.7246 0.2500 0.9477
Th4 0.8130 0.7500 0.5931
Tc1 0.1225 0.2500 0.7897
Tc2 0.8775 0.7500 0.2102
Ge1 0.3631 0.7500 0.7058
Ge2 0.6369 0.2500 0.2942

---

No. 4
## ThTc6Ge8 (PBE)

Data for a relaxed ThTc6Ge8 crystal.

## Properties
SG: R-3, No. 148
Final energy in hartree per atom: -0.2618

a b c (Å): 6.5737 6.5737 6.5737
angles (deg): 83.97 83.97 83.97
Fractional coordinates of all 15 atoms:
Th1 0.0000 0.0000 0.0000
Tc1 0.2309 0.5797 0.4177
Tc2 0.4177 0.2309 0.5797
Tc3 0.4203 0.5823 0.7691
Tc4 0.5797 0.4177 0.2309
Tc5 0.5823 0.7691 0.4203
Tc6 0.7691 0.4203 0.5823
Ge1 0.0813 0.4292 0.7756
Ge2 0.2244 0.9187 0.5708
Ge3 0.2420 0.2420 0.2420
Ge4 0.4292 0.7756 0.0813
Ge5 0.5708 0.2244 0.9187
Ge6 0.7580 0.7580 0.7580
Ge7 0.7756 0.0813 0.4292
Ge8 0.9187 0.5708 0.2244

---

No. 5
## ThTc2Ge (PBE)

Data for a relaxed ThTc2Ge crystal.

## Properties
SG: Immm, No. 71
Final energy in hartree per atom: -0.3100

a b c (Å): 9.0784 9.0784 9.0784
angles (deg): 151.36 118.59 69.13
Fractional coordinates of all 16 atoms:
Th1 0.2043 0.2043 0.0000
Th2 0.2470 0.0000 0.2470
Th3 0.7530 0.0000 0.7530
Th4 0.7957 0.7957 0.0000
Tc1 0.0755 0.5755 0.5000
Tc2 0.1628 0.8075 0.3553
Tc3 0.4216 0.4216 0.0000
Tc4 0.4522 0.8075 0.6447
Tc5 0.5478 0.1925 0.3553
Tc6 0.5784 0.5784 0.0000
Tc7 0.8372 0.1925 0.6447
Tc8 0.9245 0.4245 0.5000
Ge1 0.1003 0.3527 0.7476
Ge2 0.3950 0.6473 0.7476
Ge3 0.6050 0.3527 0.2524
Ge4 0.8997 0.6473 0.2524

---

No. 6
## Th3Tc2Ge7 (PBE)

Data for a relaxed Th3Tc2Ge7 crystal.

## Properties
SG: P2/m, No. 10
Final energy in hartree per atom: -0.2504

a b c (Å): 4.4242 4.3647 13.2597
angles (deg): 90.00 99.60 90.00
Fractional coordinates of all 12 atoms:
Th1 0.0000 0.0000 0.0000
Th2 0.3182 0.5000 0.6333
Th3 0.6818 0.5000 0.3667
Tc1 0.1287 0.0000 0.2563
Tc2 0.8713 0.0000 0.7437
Ge1 0.0855 0.5000 0.1715
Ge2 0.2205 0.0000 0.4430
Ge3 0.4137 0.0000 0.8282
Ge4 0.5000 0.5000 0.0000
Ge5 0.5863 0.0000 0.1718
Ge6 0.7795 0.0000 0.5570
Ge7 0.9145 0.5000 0.8285

---

Which formula does entry 4 have? ThTc6Ge8